Entry 1:
VASP calculation (PBEsol) on a relaxed SmSn6Ru4 crystal.

Structure (CIF):
```
data_SmSn6Ru4
_chemical_formula_sum 'Sm1 Sn6 Ru4'
_space_group_name_H-M_alt 'P 1'
_space_group_IT_number 1
_space_group_name_Hall 'P 1'
_cell_length_a 6.831
_cell_length_b 6.863
_cell_length_c 6.831
_cell_angle_alpha 60.16
_cell_angle_beta 90.00
_cell_angle_gamma 119.84
loop_
_atom_site_label
_atom_site_type_symbol
_atom_site_fract_x
_atom_site_fract_y
_atom_site_fract_z
Ru1 Ru 0.251 0.845 0.749
Ru2 Ru 0.594 0.845 0.406
Ru3 Ru 0.406 0.155 0.251
Ru4 Ru 0.749 0.155 0.594
Sn1 Sn 0.000 0.000 0.500
Sn2 Sn 0.500 0.000 0.000
Sn3 Sn 0.529 0.412 0.471
Sn4 Sn 0.471 0.588 0.883
Sn5 Sn 0.117 0.588 0.529
Sn6 Sn 0.883 0.412 0.117
Sm1 Sm 0.000 0.000 0.000
```

## Properties
size of the total moment = 0.0 μB/f.u.
final energy = -6.822 eV per atom
energy of formation from the pure elements = -0.336 eV/atom

Entry 2:
VASP calculation (PBEsol) on a relaxed Sm3Sn13Ru4 crystal.

Structure (CIF):
```
data_Sm3Sn13Ru4
_chemical_formula_sum 'Sm6 Sn26 Ru8'
_space_group_name_H-M_alt 'P 1'
_space_group_IT_number 1
_space_group_name_Hall 'P 1'
_cell_length_a 9.641
_cell_length_b 9.641
_cell_length_c 9.641
_cell_angle_alpha 90.00
_cell_angle_beta 90.00
_cell_angle_gamma 90.00
loop_
_atom_site_label
_atom_site_type_symbol
_atom_site_fract_x
_atom_site_fract_y
_atom_site_fract_z
Sn1 Sn 0.000 0.154 0.303
Sn2 Sn 0.346 0.500 0.803
Sn3 Sn 0.846 0.303 0.000
Sn4 Sn 0.500 0.197 0.654
Sn5 Sn 0.154 0.303 0.000
Sn6 Sn 0.000 0.846 0.303
Sn7 Sn 0.654 0.500 0.197
Sn8 Sn 0.697 0.000 0.846
Sn9 Sn 0.697 0.000 0.154
Sn10 Sn 0.654 0.500 0.803
Sn11 Sn 0.803 0.346 0.500
Sn12 Sn 0.500 0.500 0.500
Sn13 Sn 0.303 0.000 0.154
Sn14 Sn 0.500 0.803 0.346
Sn15 Sn 0.500 0.803 0.654
Sn16 Sn 0.197 0.654 0.500
Sn17 Sn 0.000 0.846 0.697
Sn18 Sn 0.500 0.197 0.346
Sn19 Sn 0.803 0.654 0.500
Sn20 Sn 0.346 0.500 0.197
Sn21 Sn 0.000 0.000 0.000
Sn22 Sn 0.000 0.154 0.697
Sn23 Sn 0.846 0.697 0.000
Sn24 Sn 0.154 0.697 0.000
Sn25 Sn 0.197 0.346 0.500
Sn26 Sn 0.303 0.000 0.846
Sm1 Sm 0.000 0.500 0.250
Sm2 Sm 0.500 0.250 0.000
Sm3 Sm 0.750 0.000 0.500
Sm4 Sm 0.000 0.500 0.750
Sm5 Sm 0.250 0.000 0.500
Sm6 Sm 0.500 0.750 0.000
Ru1 Ru 0.250 0.250 0.250
Ru2 Ru 0.750 0.750 0.750
Ru3 Ru 0.250 0.750 0.250
Ru4 Ru 0.250 0.250 0.750
Ru5 Ru 0.750 0.250 0.250
Ru6 Ru 0.750 0.750 0.250
Ru7 Ru 0.250 0.750 0.750
Ru8 Ru 0.750 0.250 0.750
```

## Properties
size of the total moment = 0.0 μB/f.u.
final energy = -6.017 eV per atom
energy of formation from the pure elements = -0.450 eV/atom

Entry 3:
VASP calculation (PBEsol) on a relaxed SmTmRu2 crystal.

Structure (CIF):
```
data_SmTmRu2
_chemical_formula_sum 'Sm1 Tm1 Ru2'
_space_group_name_H-M_alt 'P 1'
_space_group_IT_number 1
_space_group_name_Hall 'P 1'
_cell_length_a 4.744
_cell_length_b 4.744
_cell_length_c 4.744
_cell_angle_alpha 60.00
_cell_angle_beta 60.00
_cell_angle_gamma 60.00
loop_
_atom_site_label
_atom_site_type_symbol
_atom_site_fract_x
_atom_site_fract_y
_atom_site_fract_z
Ru1 Ru 0.750 0.750 0.750
Ru2 Ru 0.250 0.250 0.250
Sm1 Sm 0.000 0.000 0.000
Tm1 Tm 0.500 0.500 0.500
```

## Properties
size of the total moment = 0.0 μB/f.u.
final energy = -7.804 eV per atom
energy of formation from the pure elements = -0.220 eV/atom

Entry 4:
VASP calculation (PBEsol) on a relaxed Sm2ZnRu crystal.

Structure (CIF):
```
data_Sm2ZnRu
_chemical_formula_sum 'Sm2 Zn1 Ru1'
_space_group_name_H-M_alt 'P 1'
_space_group_IT_number 1
_space_group_name_Hall 'P 1'
_cell_length_a 4.925
_cell_length_b 4.925
_cell_length_c 4.925
_cell_angle_alpha 60.00
_cell_angle_beta 60.00
_cell_angle_gamma 60.00
loop_
_atom_site_label
_atom_site_type_symbol
_atom_site_fract_x
_atom_site_fract_y
_atom_site_fract_z
Zn1 Zn 0.000 0.000 0.000
Ru1 Ru 0.500 0.500 0.500
Sm1 Sm 0.250 0.250 0.250
Sm2 Sm 0.750 0.750 0.750
```

## Properties
size of the total moment = 0.0 μB/f.u.
final energy = -5.716 eV per atom
energy of formation from the pure elements = -0.231 eV/atom

Entry 5:
VASP calculation (PBEsol) on a relaxed TaSnRu3 crystal.

Structure (CIF):
```
data_TaSnRu3
_chemical_formula_sum 'Ta1 Sn1 Ru3'
_space_group_name_H-M_alt 'P 1'
_space_group_IT_number 1
_space_group_name_Hall 'P 1'
_cell_length_a 4.650
_cell_length_b 4.650
_cell_length_c 4.650
_cell_angle_alpha 90.00
_cell_angle_beta 90.00
_cell_angle_gamma 90.00
loop_
_atom_site_label
_atom_site_type_symbol
_atom_site_fract_x
_atom_site_fract_y
_atom_site_fract_z
Ru1 Ru 0.000 0.500 0.000
Ru2 Ru 0.000 0.000 0.500
Ru3 Ru 0.500 0.000 0.000
Ta1 Ta 0.000 0.000 0.000
Sn1 Sn 0.500 0.500 0.500
```

## Properties
size of the total moment = 0.0 μB/f.u.
final energy = -8.050 eV per atom
energy of formation from the pure elements = 1.415 eV/atom

Entry 6:
VASP calculation (PBEsol) on a relaxed SnTe3Ru crystal.

Structure (CIF):
```
data_SnTe3Ru
_chemical_formula_sum 'Sn1 Te3 Ru1'
_space_group_name_H-M_alt 'P 1'
_space_group_IT_number 1
_space_group_name_Hall 'P 1'
_cell_length_a 5.528
_cell_length_b 5.528
_cell_length_c 5.528
_cell_angle_alpha 90.00
_cell_angle_beta 90.00
_cell_angle_gamma 90.00
loop_
_atom_site_label
_atom_site_type_symbol
_atom_site_fract_x
_atom_site_fract_y
_atom_site_fract_z
Te1 Te 0.500 0.000 0.000
Te2 Te 0.000 0.500 0.000
Te3 Te 0.000 0.000 0.500
Ru1 Ru 0.500 0.500 0.500
Sn1 Sn 0.000 0.000 0.000
```

## Properties
size of the total moment = 3.4 μB/f.u.
final energy = -3.548 eV per atom
E_form (uncorrected) = 1454 meV per atom

Entry 7:
VASP calculation (PBEsol) on a relaxed TiSn3Ru crystal.

Structure (CIF):
```
data_TiSn3Ru
_chemical_formula_sum 'Ti1 Sn3 Ru1'
_space_group_name_H-M_alt 'P 1'
_space_group_IT_number 1
_space_group_name_Hall 'P 1'
_cell_length_a 5.010
_cell_length_b 5.010
_cell_length_c 5.010
_cell_angle_alpha 90.00
_cell_angle_beta 90.00
_cell_angle_gamma 90.00
loop_
_atom_site_label
_atom_site_type_symbol
_atom_site_fract_x
_atom_site_fract_y
_atom_site_fract_z
Sn1 Sn 0.000 0.500 0.000
Sn2 Sn 0.500 0.000 0.000
Sn3 Sn 0.000 0.000 0.500
Ru1 Ru 0.000 0.000 0.000
Ti1 Ti 0.500 0.500 0.500
```

## Properties
size of the total moment = 2.1 μB/f.u.
final energy = -5.650 eV per atom
energy of formation from the pure elements = 0.604 eV/atom

Entry 8:
VASP calculation (PBEsol) on a relaxed ZrSnRu3 crystal.

Structure (CIF):
```
data_ZrSnRu3
_chemical_formula_sum 'Zr1 Sn1 Ru3'
_space_group_name_H-M_alt 'P 1'
_space_group_IT_number 1
_space_group_name_Hall 'P 1'
_cell_length_a 4.682
_cell_length_b 4.682
_cell_length_c 4.682
_cell_angle_alpha 90.00
_cell_angle_beta 90.00
_cell_angle_gamma 90.00
loop_
_atom_site_label
_atom_site_type_symbol
_atom_site_fract_x
_atom_site_fract_y
_atom_site_fract_z
Ru1 Ru 0.000 0.500 0.000
Ru2 Ru 0.500 0.000 0.000
Ru3 Ru 0.000 0.000 0.500
Zr1 Zr 0.000 0.000 0.000
Sn1 Sn 0.500 0.500 0.500
```

## Properties
size of the total moment = 0.4 μB/f.u.
final energy = -7.280 eV per atom
energy of formation from the pure elements = 1.493 eV/atom